{"formula": "KLa2Sn2Au2", "functional": "PBE", "state": "relaxed", "lattice_angstrom": [[-2.264, -2.973, -3.219], [-3.804, -2.777, 1.463], [-8.522, 5.693, -3.042]], "species": ["La", "La", "Au", "Au", "Sn", "Sn", "K"], "frac_coords": [[0.860, 0.860, 0.419], [0.140, 0.140, 0.581], [0.438, 0.438, 0.685], [0.562, 0.562, 0.315], [0.253, 0.253, 0.240], [0.747, 0.747, 0.760], [0.000, 0.000, 0.000]], "e_tot_ev_per_atom": -4.19}

{"formula": "KSr2LaAu", "functional": "PBE", "state": "relaxed", "lattice_angstrom": [[6.331, 0.000, 0.000], [0.000, 6.331, 0.000], [0.000, 0.000, 5.875]], "species": ["K", "Sr", "Sr", "La", "Au"], "frac_coords": [[0.500, 0.500, 0.500], [0.000, 0.500, 0.000], [0.500, 0.000, 0.000], [0.000, 0.000, 0.500], [0.000, 0.000, 0.000]], "e_tot_ev_per_atom": -2.72}

{"formula": "KLaTlAu", "functional": "PBE", "state": "relaxed", "lattice_angstrom": [[5.534, 0.000, 0.000], [2.767, 4.793, 0.000], [2.767, 1.598, 4.519]], "species": ["K", "Au", "Tl", "La"], "frac_coords": [[0.750, 0.750, 0.750], [0.500, 0.500, 0.500], [0.000, 0.000, 0.000], [0.250, 0.250, 0.250]], "e_tot_ev_per_atom": -3.15}

Question: What is the formula in the first record?
Answer: KLa2Sn2Au2